No. 1
A plane-wave DFT calculation with PBE was carried out for Au3Se after structural relaxation.

Computed properties:
Space group = C2/m (12)

```
Au3Se
1.0
7.139 0.000 0.000
0.000 2.856 0.000
-0.917 0.000 7.788
Au Se
6 2
Cartesian
0.000 0.000 0.000
1.533 1.428 1.937
1.119 0.000 5.850
3.570 1.428 0.000
5.103 0.000 1.937
4.689 1.428 5.850
-0.459 1.428 3.894
3.111 0.000 3.894
```

---

No. 2
A plane-wave DFT calculation with PBE was carried out for AuSe after structural relaxation.

Computed properties:
Space group = I4/m (87)

```
AuSe
1.0
8.830 0.000 0.000
0.000 8.830 0.000
0.000 0.000 5.323
Au Se
8 8
Cartesian
0.768 2.475 0.000
1.940 5.183 2.661
2.475 8.062 0.000
3.647 1.940 2.661
5.183 6.890 2.661
6.355 0.768 0.000
6.890 3.647 2.661
8.062 6.355 0.000
1.255 2.752 2.661
1.663 5.670 0.000
2.752 7.575 2.661
3.160 1.663 0.000
5.670 7.167 0.000
6.078 1.255 2.661
7.167 3.160 0.000
7.575 6.078 2.661
```

---

No. 3
A plane-wave DFT calculation with PBE was carried out for Au2Se after structural relaxation.

Computed properties:
Space group = I4/mmm (139)

```
Au2Se
1.0
2.852 0.000 0.000
0.000 2.852 0.000
0.000 0.000 14.347
Au Se
4 2
Cartesian
0.000 0.000 2.483
0.000 0.000 11.864
1.426 1.426 4.690
1.426 1.426 9.656
0.000 0.000 7.173
1.426 1.426 0.000
```

---

no.,E_form (uncorrected) (eV per atom),uncorrected energy (eV/atom)
1,0.16,-3.17
2,-0.05,-3.43
3,0.25,-3.09